# 1
Here is a geometry-optimized KLiPdC2 structure from Alexandria via LeMat-Bulk. Energies are from PBE-GGA.

## Properties
E_tot: -2.420 eV per atom
Energy of formation: 2.910 eV/atom
Theoretical density: 3.6 Mg/m³
N(E_F): 0.73 states/eV per atom

Lattice parameters (Å, degrees): 4.4709 4.4709 4.1115 90.00 90.00 90.00
With the nearest neighbours (Å) after each atom.
Space group P4/mmm (No. 123)
Unique sites:
K  0.0000  0.0000  0.0000 (multiplicity 1)  2 Li 2.06, 4 C 2.24
Li  0.0000  0.0000  0.5000 (multiplicity 1)  2 K 2.06
Pd  0.5000  0.5000  0.5000 (multiplicity 1)  8 C 3.04, 4 Li 3.16
C  0.0000  0.5000  0.0000 (multiplicity 2)  2 K 2.24

# 2
Here is a geometry-optimized Pa2NbRh9 structure from Alexandria via LeMat-Bulk. Energies are from PBE-GGA.

## Properties
E_tot: -8.694 eV per atom
Energy of formation: -0.758 eV/atom
Theoretical density: 12.7 Mg/m³
N(E_F): 0.74 states/eV per atom

Lattice parameters (Å, degrees): 4.0091 4.0091 12.0087 90.00 90.00 90.00
With the nearest neighbours (Å) after each atom.
Space group P4/mmm (No. 123)
Unique sites:
Pa  0.0000  0.0000  0.1701 (multiplicity 2)  12 Rh 2.83-2.88
Nb  0.0000  0.0000  0.5000 (multiplicity 1)  12 Rh 2.76-2.83
Rh  0.0000  0.5000  0.0000 (multiplicity 2)  8 Rh 2.83-2.87, 4 Pa 2.86
Rh  0.0000  0.5000  0.3426 (multiplicity 4)  8 Rh 2.76-2.87, 2 Nb 2.76, 2 Pa 2.88
Rh  0.5000  0.5000  0.1716 (multiplicity 2)  4 Pa 2.83, 8 Rh 2.87
Rh  0.5000  0.5000  0.5000 (multiplicity 1)  8 Rh 2.76, 4 Nb 2.83

# 3
Here is a geometry-optimized Zn10Ag3Au3 structure from Alexandria via LeMat-Bulk. Energies are from PBE-GGA.

## Properties
E_tot: -2.008 eV per atom
Energy of formation: -0.062 eV/atom
Theoretical density: 9.8 Mg/m³
N(E_F): 0.15 states/eV per atom

Lattice parameters (Å, degrees): 7.6947 7.6947 5.2070 90.00 90.00 120.00
With the nearest neighbours (Å) after each atom.
Space group P-62m (No. 189)
Unique sites:
Zn  0.0000  0.2378  0.0000 (multiplicity 3)  3 Au 2.61-2.88, 2 Ag 2.90
Zn  0.0000  0.7910  0.5000 (multiplicity 3)  3 Ag 2.69-2.99, 2 Zn 2.79, 2 Au 2.94
Zn  0.3333  0.6667  0.2483 (multiplicity 4)  2 Zn 2.59-2.62, 3 Ag 2.69, 3 Au 2.71
Ag  0.0000  0.4028  0.5000 (multiplicity 3)  9 Zn 2.69-2.99
Au  0.0000  0.6123  0.0000 (multiplicity 3)  7 Zn 2.61-2.88

# 4
Here is a geometry-optimized Sm6DyY3 structure from Alexandria via LeMat-Bulk. Energies are from PBE-GGA.

## Properties
E_tot: -5.092 eV per atom
Energy of formation: 0.139 eV/atom
Excess energy over the best structure of this formula in the dataset: 0.012 eV/atom
Theoretical density: 6.6 Mg/m³
N(E_F): 1.39 states/eV per atom

Lattice parameters (Å, degrees): 11.1426 19.3516 6.2256 90.00 90.00 90.00
With the nearest neighbours (Å) after each atom.
Space group Cmc2_1 (No. 36)
Unique sites:
Sm  0.0000  0.0434  0.0000 (multiplicity 4)  1 Dy 3.32, 2 Sm 3.54, 4 Y 3.54-3.66
Sm  0.0000  0.2791  0.7161 (multiplicity 4)  4 Sm 3.17-3.50, 2 Dy 3.36-3.54, 1 Y 3.40
Sm  0.1661  0.4557  0.6133 (multiplicity 8)  5 Sm 3.48-3.79, 4 Y 3.49-3.69
Sm  0.2387  0.2896  0.4414 (multiplicity 8)  5 Sm 3.17-3.50, 1 Y 3.32, 2 Dy 3.33-3.49
Dy  0.0000  0.2025  0.2004 (multiplicity 4)  7 Sm 3.32-3.54, 3 Y 3.33-3.58
Y  0.0000  0.3869  0.1480 (multiplicity 4)  7 Sm 3.40-3.74, 1 Dy 3.58, 2 Y 3.76
Y  0.1682  0.1113  0.5404 (multiplicity 8)  6 Sm 3.32-3.66, 1 Dy 3.33

# 5
Here is a geometry-optimized La2NdY6Er2 structure from Alexandria via LeMat-Bulk. Energies are from PBE-GGA.

## Properties
E_tot: -5.512 eV per atom
Energy of formation: 0.173 eV/atom
Theoretical density: 5.6 Mg/m³
N(E_F): 1.57 states/eV per atom

Lattice parameters (Å, degrees): 6.5001 10.2760 11.4162 90.00 94.18 90.00
With the nearest neighbours (Å) after each atom.
Space group C2/m (No. 12)
Unique sites:
La  0.0000  0.2323  0.0000 (multiplicity 4)  2 La 3.27, 4 Y 3.43-3.49
Nd  0.0000  0.5000  0.5000 (multiplicity 2)  6 Y 3.46-3.74, 6 Er 3.47-3.66
Y  0.2135  0.3327  0.7427 (multiplicity 8)  2 La 3.43-3.49, 6 Y 3.44-3.73, 2 Er 3.45-3.48, 1 Nd 3.46
Y  0.2234  0.0000  0.7763 (multiplicity 4)  6 Y 3.44-3.73, 1 Nd 3.74, 2 Er 3.77
Er  0.0000  0.1628  0.5000 (multiplicity 4)  3 Er 3.35-3.71, 4 Y 3.45-3.48, 3 Nd 3.47-3.66

# 6
Here is a geometry-optimized LaBe structure from Alexandria via LeMat-Bulk. Energies are from PBE-GGA.

## Properties
E_tot: -3.913 eV per atom
Energy of formation: 0.414 eV/atom
Excess energy over the best structure of this formula in the dataset: 0.374 eV/atom
Theoretical density: 4.8 Mg/m³
N(E_F): 1.18 states/eV per atom

Lattice parameters (Å, degrees): 5.9336 5.9336 5.8363 90.00 90.00 90.00
With the nearest neighbours (Å) after each atom.
Space group P4_2/mnm (No. 136)
Unique sites:
La  0.1822  0.1822  0.0000 (multiplicity 4)  4 Be 2.87-2.96, 1 La 3.06
Be  0.1265  0.1265  0.5000 (multiplicity 4)  1 Be 2.12

# 7
Here is a geometry-optimized SrTe3Au structure from Alexandria via LeMat-Bulk. Energies are from PBE-GGA.

## Properties
E_tot: -3.266 eV per atom
Excess energy over the best structure of this formula in the dataset: 0.000 eV/atom
Theoretical density: 6.6 Mg/m³
N(E_F): 0.79 states/eV per atom
Formation energy from raw total energies: -0.39 eV per atom

Lattice parameters (Å, degrees): 5.5195 5.5195 5.5195 90.00 90.00 90.00
With the nearest neighbours (Å) after each atom.
Space group Pm-3m (No. 221)
Unique sites:
Sr  0.0000  0.0000  0.0000 (multiplicity 1)  12 Te 3.90
Te  0.0000  0.5000  0.5000 (multiplicity 3)  2 Au 2.76
Au  0.5000  0.5000  0.5000 (multiplicity 1)  6 Te 2.76

# 8
Here is a geometry-optimized Na2InSn2 structure from Alexandria via LeMat-Bulk. Energies are from PBE-GGA.

## Properties
E_tot: -2.695 eV per atom
Energy of formation: -0.019 eV/atom
Excess energy over the best structure of this formula in the dataset: 0.137 eV/atom
Theoretical density: 4.6 Mg/m³
N(E_F): 0.39 states/eV per atom

Lattice parameters (Å, degrees): 9.2997 9.2997 3.3153 90.00 90.00 90.00
With the nearest neighbours (Å) after each atom.
Space group P4/mbm (No. 127)
Unique sites:
Na  0.1835  0.3165  0.0000 (multiplicity 4)  6 Sn 3.15-3.28, 2 Na 3.32, 2 In 3.40
In  0.0000  0.0000  0.0000 (multiplicity 2)  2 In 3.32, 4 Na 3.40
Sn  0.1132  0.6132  0.5000 (multiplicity 4)  3 Sn 2.98-3.32, 6 Na 3.15-3.28

# 9
Here is a geometry-optimized PrSiPd4 structure from Alexandria via LeMat-Bulk. Energies are from PBE-GGA.

## Properties
E_tot: -5.889 eV per atom
Theoretical density: 9.2 Mg/m³
N(E_F): 0.28 states/eV per atom
Formation energy from raw total energies: -0.73 eV per atom

Lattice parameters (Å, degrees): 7.8276 3.8867 7.0531 90.00 90.00 90.00
With the nearest neighbours (Å) after each atom.
Space group Pmma (No. 51)
Unique sites:
Pr  0.2500  0.0000  0.1308 (multiplicity 2)  12 Pd 3.01-3.35, 1 Si 3.04
Si  0.2500  0.0000  0.6993 (multiplicity 2)  8 Pd 2.41-2.59
Pd  0.0000  0.0000  0.5000 (multiplicity 2)  2 Si 2.41
Pd  0.0642  0.5000  0.8042 (multiplicity 4)  2 Si 2.54
Pd  0.2500  0.5000  0.4570 (multiplicity 2)  2 Si 2.59, 6 Pd 2.77-2.85

# 10
Here is a geometry-optimized Ga2GeCl structure from Alexandria via LeMat-Bulk. Energies are from PBE-GGA.

## Properties
E_tot: -3.202 eV per atom
Excess energy over the best structure of this formula in the dataset: 0.166 eV/atom
Theoretical density: 3.6 Mg/m³
N(E_F): 0.56 states/eV per atom
Formation energy from raw total energies: -0.07 eV per atom

Lattice parameters (Å, degrees): 5.9630 5.9630 12.7858 90.00 90.00 90.00
With the nearest neighbours (Å) after each atom.
Space group I-42d (No. 122)
Unique sites:
Ga  0.2148  0.2500  0.1250 (multiplicity 8)  2 Ge 2.53, 2 Cl 2.77
Ge  0.0000  0.0000  0.0000 (multiplicity 4)  4 Ga 2.53
Cl  0.0000  0.0000  0.5000 (multiplicity 4)  4 Ga 2.77

# 11
Here is a geometry-optimized Cr2TcTe structure from Alexandria via LeMat-Bulk. Energies are from PBE-GGA.

## Properties
E_tot: -7.712 eV per atom
Theoretical density: 8.8 Mg/m³
N(E_F): 1.16 states/eV per atom
Formation energy from raw total energies: 0.48 eV per atom

Lattice parameters (Å, degrees): 5.4457 7.3943 3.0767 90.00 90.00 90.00
With the nearest neighbours (Å) after each atom.
Space group Cmmm (No. 65)
Unique sites:
Cr  0.2500  0.2500  0.0000 (multiplicity 4)  2 Cr 2.72, 4 Te 2.76, 4 Tc 2.76
Tc  0.0000  0.0000  0.5000 (multiplicity 2)  2 Te 2.72, 8 Cr 2.76
Te  0.0000  0.5000  0.5000 (multiplicity 2)  2 Tc 2.72, 8 Cr 2.76

# 12
Here is a geometry-optimized CaAsSeBr2 structure from Alexandria via LeMat-Bulk. Energies are from PBE-GGA.

## Properties
E_tot: -2.832 eV per atom
Excess energy over the best structure of this formula in the dataset: 0.457 eV/atom
Theoretical density: 3.2 Mg/m³
N(E_F): 0.44 states/eV per atom
Formation energy from raw total energies: -0.14 eV per atom

Lattice parameters (Å, degrees): 5.3981 5.3981 6.3120 90.00 90.00 90.00
With the nearest neighbours (Å) after each atom.
Space group P4/mmm (No. 123)
Unique sites:
Ca  0.0000  0.0000  0.0000 (multiplicity 1)  4 Br 2.70
As  0.0000  0.0000  0.5000 (multiplicity 1)  2 Ca 3.16
Se  0.5000  0.5000  0.5000 (multiplicity 1)  4 As 3.82, 8 Br 4.15
Br  0.0000  0.5000  0.0000 (multiplicity 2)  2 Ca 2.70